Record 1
Computed, not measured: a relaxed AcFeB3Os crystal at the GGA-PBE level of DFT.

Output
crystal system	orthorhombic
magnetic moment	0.00	μB per cell
energy	-89.6	eV/cell
ΔH_f (0 K)	-0.164	eV/atom

```
AcFeB3Os
1.0
2.649 -5.199 0.000
2.649 5.199 0.000
0.000 0.000 5.980
Ac Fe B Os
2 2 6 2
Direct
0.239 0.761 0.750
0.761 0.239 0.250
0.090 0.910 0.250
0.910 0.090 0.750
0.178 0.178 0.000
0.178 0.178 0.500
0.275 0.725 0.250
0.725 0.275 0.750
0.822 0.822 0.000
0.822 0.822 0.500
0.467 0.533 0.250
0.533 0.467 0.750
```



Record 2
Computed, not measured: a relaxed AcFeB2Ru crystal at the GGA-PBE level of DFT.

Output
crystal system	tetragonal
magnetic moment	1.02	μB per cell
energy	-36.8	eV/cell
ΔH_f (0 K)	-0.325	eV/atom

```
AcFeB2Ru
1.0
-1.935 1.935 5.289
1.935 -1.935 5.289
1.935 1.935 -5.289
Ac Fe B Ru
1 1 2 1
Direct
0.000 0.000 0.000
0.750 0.250 0.500
0.321 0.321 0.000
0.679 0.679 0.000
0.250 0.750 0.500
```



Record 3
Computed, not measured: a relaxed AcFe2Si2B crystal at the GGA-PBE level of DFT.

Output
crystal system	tetragonal
magnetic moment	0.81	μB per cell
energy	-41.0	eV/cell
raw formation energy	-9.2	kcal/mol of atoms

```
AcFe2Si2B
1.0
3.974 0.000 0.000
0.000 3.974 0.000
0.000 0.000 5.846
Ac Fe Si B
1 2 2 1
Direct
0.000 0.000 0.000
0.000 0.500 0.500
0.500 0.000 0.500
0.500 0.500 0.276
0.500 0.500 0.724
0.000 0.000 0.500
```



Record 4
Computed, not measured: a relaxed AcGaBIr2 crystal at the GGA-PBE level of DFT.

Output
crystal system	orthorhombic
magnetic moment	0.00	μB per cell
energy	-68.9	eV/cell
ΔH_f (0 K)	-0.585	eV/atom

```
AcGaBIr2
1.0
2.154 -5.745 0.000
2.154 5.745 0.000
0.000 0.000 7.440
Ac Ga B Ir
2 2 2 4
Direct
0.058 0.942 0.750
0.942 0.058 0.250
0.226 0.774 0.250
0.774 0.226 0.750
0.500 0.500 0.000
0.500 0.500 0.500
0.335 0.665 0.561
0.335 0.665 0.939
0.665 0.335 0.061
0.665 0.335 0.439
```



Record 5
Computed, not measured: a relaxed AcGaBIr3 crystal at the GGA-PBE level of DFT.

Output
crystal system	orthorhombic
magnetic moment	0.00	μB per cell
energy	-86.9	eV/cell
ΔH_f (0 K)	-0.509	eV/atom

```
AcGaBIr3
1.0
2.950 -6.215 0.000
2.950 6.215 0.000
0.000 0.000 5.913
Ac Ga B Ir
2 2 2 6
Direct
0.246 0.754 0.750
0.754 0.246 0.250
0.121 0.879 0.250
0.879 0.121 0.750
0.490 0.510 0.250
0.510 0.490 0.750
0.251 0.251 0.000
0.251 0.251 0.500
0.318 0.682 0.250
0.682 0.318 0.750
0.749 0.749 0.000
0.749 0.749 0.500
```



Record 6
Computed, not measured: a relaxed AcGa2BOs2 crystal at the GGA-PBE level of DFT.

Output
crystal system	tetragonal
magnetic moment	0.00	μB per cell
energy	-41.9	eV/cell
ΔH_f (0 K)	-0.436	eV/atom

```
AcGa2BOs2
1.0
4.265 0.000 0.000
0.000 4.265 0.000
0.000 0.000 5.759
Ac Ga B Os
1 2 1 2
Direct
0.000 0.000 0.000
0.500 0.500 0.236
0.500 0.500 0.764
0.000 0.000 0.500
0.000 0.500 0.500
0.500 0.000 0.500
```



Record 7
Computed, not measured: a relaxed Ac2GaBPd6 crystal at the GGA-PBE level of DFT.

Output
crystal system	trigonal
magnetic moment	0.00	μB per cell
energy	-56.3	eV/cell
ΔH_f (0 K)	-0.722	eV/atom

```
Ac2GaBPd6
1.0
2.968 1.714 6.406
-2.968 1.714 6.406
0.000 -3.427 6.406
Ac Ga B Pd
2 1 1 6
Direct
0.226 0.226 0.226
0.774 0.774 0.774
0.500 0.500 0.500
0.000 0.000 0.000
0.234 0.234 0.717
0.234 0.717 0.234
0.283 0.766 0.766
0.717 0.234 0.234
0.766 0.283 0.766
0.766 0.766 0.283
```



Record 8
Computed, not measured: a relaxed Ac2GaB3Pt12 crystal at the GGA-PBE level of DFT.

Output
crystal system	trigonal
magnetic moment	0.00	μB per cell
energy	-113.3	eV/cell
ΔH_f (0 K)	-0.532	eV/atom

```
Ac2GaB3Pt12
1.0
3.976 2.295 6.054
-3.976 2.295 6.054
0.000 -4.591 6.054
Ac Ga B Pt
2 1 3 12
Direct
0.110 0.110 0.110
0.890 0.890 0.890
0.500 0.500 0.500
0.000 0.500 0.500
0.500 0.000 0.500
0.500 0.500 0.000
0.125 0.613 0.613
0.176 0.176 0.585
0.176 0.585 0.176
0.387 0.387 0.875
0.387 0.875 0.387
0.415 0.824 0.824
0.585 0.176 0.176
0.613 0.125 0.613
0.613 0.613 0.125
0.824 0.415 0.824
0.824 0.824 0.415
0.875 0.387 0.387
```



Record 9
Computed, not measured: a relaxed Ac3GaB2Pt9 crystal at the GGA-PBE level of DFT.

Output
crystal system	trigonal
magnetic moment	0.00	μB per cell
energy	-95.0	eV/cell
ΔH_f (0 K)	-0.794	eV/atom

```
Ac3GaB2Pt9
1.0
5.977 0.000 0.000
-2.988 5.176 0.000
0.000 0.000 9.330
Ac Ga B Pt
3 1 2 9
Direct
0.000 0.000 0.000
0.333 0.667 0.623
0.667 0.333 0.377
0.000 0.000 0.500
0.333 0.667 0.149
0.667 0.333 0.851
0.000 0.500 0.000
0.167 0.333 0.289
0.167 0.833 0.289
0.333 0.167 0.711
0.500 0.000 0.000
0.500 0.500 0.000
0.667 0.833 0.289
0.833 0.167 0.711
0.833 0.667 0.711
```



Record 10
Computed, not measured: a relaxed Ac3GaB2Pt8 crystal at the GGA-PBE level of DFT.

Output
crystal system	trigonal
magnetic moment	0.00	μB per cell
energy	-85.8	eV/cell
ΔH_f (0 K)	-0.623	eV/atom

```
Ac3GaB2Pt8
1.0
6.286 0.000 0.000
-3.143 5.444 0.000
0.000 0.000 9.253
Ac Ga B Pt
3 1 2 8
Direct
0.000 0.000 0.000
0.333 0.667 0.623
0.667 0.333 0.377
0.000 0.000 0.500
0.333 0.667 0.269
0.667 0.333 0.731
0.150 0.300 0.293
0.150 0.850 0.293
0.300 0.150 0.707
0.333 0.667 0.050
0.667 0.333 0.950
0.700 0.850 0.293
0.850 0.150 0.707
0.850 0.700 0.707
```



Record 11
Computed, not measured: a relaxed Ac2GaBRh6 crystal at the GGA-PBE level of DFT.

Output
crystal system	orthorhombic
magnetic moment	0.00	μB per cell
energy	-67.6	eV/cell
ΔH_f (0 K)	-0.561	eV/atom

```
Ac2GaBRh6
1.0
-3.185 3.194 4.511
3.185 -3.194 4.511
3.185 3.194 -4.511
Ac Ga B Rh
2 1 1 6
Direct
0.250 0.250 0.000
0.750 0.750 0.000
0.500 0.000 0.500
0.000 0.500 0.500
0.231 0.269 0.500
0.231 0.731 0.500
0.231 0.731 0.961
0.769 0.269 0.039
0.769 0.269 0.500
0.769 0.731 0.500
```



Record 12
Computed, not measured: a relaxed Ac2GaB3Rh12 crystal at the GGA-PBE level of DFT.

Output
crystal system	trigonal
magnetic moment	0.00	μB per cell
energy	-122.4	eV/cell
ΔH_f (0 K)	-0.161	eV/atom

```
Ac2GaB3Rh12
1.0
3.943 2.277 5.535
-3.943 2.277 5.535
0.000 -4.553 5.535
Ac Ga B Rh
2 1 3 12
Direct
0.102 0.102 0.102
0.898 0.898 0.898
0.500 0.500 0.500
0.000 0.500 0.500
0.500 0.000 0.500
0.500 0.500 0.000
0.106 0.633 0.633
0.223 0.223 0.602
0.223 0.602 0.223
0.367 0.367 0.894
0.367 0.894 0.367
0.398 0.777 0.777
0.602 0.223 0.223
0.633 0.106 0.633
0.633 0.633 0.106
0.777 0.398 0.777
0.777 0.777 0.398
0.894 0.367 0.367
```



For the records above, the corresponding DOS at the Fermi energy values read 6.7, 4.0, 5.3, 5.1, 3.3, 1.2, 4.2, 8.1, 4.5, 4.2, 10.6, 23.2 states/eV/cell.